The following is a DFT calculation (PBE) of a relaxed structure of Ca3MnH6.

Values from the calculation:
M_tot = 2.1 μB per cell
electronic total energy = -3.820 eV per atom

a = 6.202 Å, b = 6.202 Å, c = 6.202 Å
α = 92.24°, β = 92.24°, γ = 92.24°
Each line ends with the local moment (μB).
Fractional positions:
1 Ca 0.448 0.927 0.747  0.10
2 Ca 0.927 0.747 0.448  0.10
3 Ca 0.253 0.552 0.073  0.10
4 Ca 0.747 0.448 0.927  0.10
5 Ca 0.073 0.253 0.552  0.10
6 Ca 0.552 0.073 0.253  0.10
7 Mn 0.000 0.000 0.000  0.11
8 Mn 0.500 0.500 0.500  0.11
9 H 0.259 0.930 0.063  0.00
10 H 0.070 0.937 0.741  0.00
11 H 0.565 0.762 0.448  0.00
12 H 0.937 0.741 0.070  0.00
13 H 0.448 0.565 0.762  0.00
14 H 0.238 0.552 0.435  0.00
15 H 0.762 0.448 0.565  0.00
16 H 0.552 0.435 0.238  0.00
17 H 0.063 0.259 0.930  0.00
18 H 0.435 0.238 0.552  0.00
19 H 0.930 0.063 0.259  0.00
20 H 0.741 0.070 0.937  0.00

***

The following is a DFT calculation (PBE) of a relaxed structure of In3Hg5.

Values from the calculation:
M_tot = 0.0 μB per cell
electronic total energy = -1.202 eV per atom
energy above the lowest structure with this stoichiometry = 0.015 eV per atom
calculated formation energy = 0.3 kcal/mol of atoms

a = 8.936 Å, b = 8.936 Å, c = 8.659 Å
α = 95.57°, β = 95.56°, γ = 139.81°
Fractional positions:
1 Hg 0.231 0.731 0.462
2 Hg 0.768 0.269 0.538
3 Hg 0.846 0.151 0.853
4 Hg 0.153 0.849 0.147
5 Hg 0.706 0.552 0.310
6 Hg 0.293 0.448 0.690
7 Hg 0.650 0.347 0.853
8 Hg 0.349 0.653 0.147
9 Hg 0.052 0.207 0.310
10 Hg 0.947 0.793 0.690
11 In 0.728 0.772 0.000
12 In 0.271 0.228 0.000
13 In 0.333 0.166 0.500
14 In 0.666 0.834 0.500
15 In 0.263 0.763 0.832
16 In 0.736 0.237 0.168

***

Q: The highest electronic total energy belongs to which entry?
A: In3Hg5

***

Q: The highest electronic total energy belongs to which entry?
A: In3Hg5

***

Q: Which of these has the lowest electronic total energy?
A: Ca3MnH6